#P
This record from Alexandria describes KNbZn after structural relaxation. The functional is PBE.

Cell lengths 5.2546, 5.2546, 7.8032 Å; angles 90.00, 90.00, 120.00 degrees
Sites, in units of the cell vectors:
1 K 0.6667 0.3333 0.0000
2 K 0.6667 0.3333 0.5000
3 Nb 0.0000 0.0000 0.3580
4 Nb 0.0000 0.0000 0.6420
5 Zn 0.3333 0.6667 0.3319
6 Zn 0.3333 0.6667 0.6681

Properties
Crystal system: hexagonal
M_tot: 0.00 μB per atom



#Q
This record from Alexandria describes KNbZn after structural relaxation. The functional is PBE.

Cell lengths 4.3795, 4.3795, 5.8404 Å; angles 90.00, 90.00, 120.00 degrees
Last column: magnetic moment on the atom in μB.
Sites, in units of the cell vectors:
1 K 0.6667 0.3333 0.5000  0.01
2 Nb 0.3333 0.6667 0.0000  1.10
3 Zn 0.0000 0.0000 0.0000  0.02

Properties
Crystal system: hexagonal
M_tot: 0.50 μB per atom



Which is most stable, and by how much? #P, by 24.8 kJ/mol of atoms.



#P
This record from Alexandria describes KNbZn after structural relaxation. The functional is PBE.

Cell lengths 4.4806, 11.7500, 4.4805 Å; angles 84.63, 60.06, 95.51 degrees
Sites, in units of the cell vectors:
1 K 0.1696 0.0021 0.3966
2 K 0.8543 0.3697 0.7093
3 Zn 0.7341 0.7980 0.1639
4 Zn 0.6219 0.5736 0.2751
5 Nb 0.3447 0.6858 0.8862
6 Nb 0.0112 0.6858 0.5528

Properties
Crystal system: triclinic
M_tot: 0.00 μB per atom



#Q
This record from Alexandria describes KNbZn after structural relaxation. The functional is PBE.

Cell lengths 3.8290, 12.9120, 3.8333 Å; angles 89.93, 90.00, 81.38 degrees
Sites, in units of the cell vectors:
1 K 0.7377 0.0137 0.1391
2 K 0.0753 0.3428 0.6402
3 Zn 0.8539 0.7719 0.6399
4 Zn 0.3542 0.7718 0.1399
5 Nb 0.4372 0.6073 0.6406
6 Nb 0.9371 0.6075 0.1406

Properties
Crystal system: triclinic
M_tot: 0.00 μB per atom



Which is most stable, and by how much? #P, by 4.0 kJ/mol of atoms.



#P
This record from Alexandria describes KNbZn after structural relaxation. The functional is PBE.

Cell lengths 4.4830, 11.7547, 4.4838 Å; angles 90.01, 59.99, 100.31 degrees
Sites, in units of the cell vectors:
1 K 0.9054 0.0027 0.9448
2 K 0.8433 0.3691 0.4754
3 Zn 0.4445 0.7982 0.6748
4 Zn 0.3042 0.5733 0.7449
5 Nb 0.7069 0.6845 0.0436
6 Nb 0.0418 0.6871 0.3761

Properties
Crystal system: monoclinic
M_tot: 0.00 μB per atom



#Q
This record from Alexandria describes KNbZn after structural relaxation. The functional is PBE.

Cell lengths 4.8614, 4.8614, 4.8614 Å; angles 60.00, 60.00, 60.00 degrees
Sites, in units of the cell vectors:
1 K 0.2500 0.2500 0.2500
2 Nb 0.7500 0.7500 0.7500
3 Zn 0.0000 0.0000 0.0000

Properties
Crystal system: cubic
M_tot: 0.00 μB per atom



#R
This record from Alexandria describes KNbZn after structural relaxation. The functional is PBE.

Cell lengths 9.3053, 3.2327, 11.0238 Å; angles 90.00, 90.00, 90.00 degrees
Sites, in units of the cell vectors:
1 K 0.0669 0.2500 0.8369
2 K 0.4331 0.7500 0.3369
3 K 0.9331 0.7500 0.1631
4 K 0.5669 0.2500 0.6631
5 Nb 0.0863 0.2500 0.4509
6 Nb 0.4137 0.7500 0.9509
7 Nb 0.9137 0.7500 0.5491
8 Nb 0.5863 0.2500 0.0491
9 Zn 0.7614 0.2500 0.3897
10 Zn 0.7386 0.7500 0.8897
11 Zn 0.2386 0.7500 0.6103
12 Zn 0.2614 0.2500 0.1103

Properties
Crystal system: orthorhombic
M_tot: 0.00 μB per atom



#S
This record from Alexandria describes KNbZn after structural relaxation. The functional is PBE.

Cell lengths 6.8143, 5.7557, 6.6668 Å; angles 81.53, 43.41, 99.86 degrees
Sites, in units of the cell vectors:
1 K 0.9851 0.6493 0.5230
2 K 0.2886 0.2525 0.2199
3 Zn 0.8865 0.4491 0.1226
4 Zn 0.3875 0.4526 0.6207
5 Nb 0.8430 0.9507 0.1251
6 Nb 0.4305 0.9510 0.6180

Properties
Crystal system: triclinic
M_tot: 0.00 μB per atom



Which is most stable, and by how much? #P, by 24.1 kJ/mol of atoms.



#P
This record from Alexandria describes KNbZn after structural relaxation. The functional is PBE.

Cell lengths 4.4830, 11.5177, 4.4836 Å; angles 90.17, 60.00, 89.68 degrees
Sites, in units of the cell vectors:
1 K 0.1108 0.0022 0.2159
2 K 0.7924 0.3697 0.8704
3 Zn 0.4479 0.7980 0.5457
4 Zn 0.4535 0.5735 0.5410
5 Nb 0.7841 0.6871 0.8767
6 Nb 0.1175 0.6845 0.2100

Properties
Crystal system: triclinic
M_tot: 0.00 μB per atom



#Q
This record from Alexandria describes KNbZn after structural relaxation. The functional is PBE.

Cell lengths 4.6101, 6.7842, 5.5778 Å; angles 77.72, 93.44, 90.38 degrees
Sites, in units of the cell vectors:
1 K 0.2496 0.0600 0.2359
2 K 0.7504 0.9400 0.7641
3 Nb 0.2163 0.5039 0.6002
4 Nb 0.7837 0.4961 0.3998
5 Zn 0.7410 0.4470 0.9034
6 Zn 0.2590 0.5530 0.0966

Properties
Crystal system: triclinic
M_tot: 0.00 μB per atom



Which is most stable, and by how much? #P, by 22.5 kJ/mol of atoms.



#P
This record from Alexandria describes KNbZn after structural relaxation. The functional is PBE.

Cell lengths 7.1012, 7.1012, 4.9859 Å; angles 90.00, 90.00, 138.69 degrees
Sites, in units of the cell vectors:
1 K 0.7164 0.2836 0.2500
2 K 0.2836 0.7164 0.7500
3 Nb 0.0000 0.0000 0.0000
4 Nb 0.0000 0.0000 0.5000
5 Zn 0.4679 0.5321 0.2500
6 Zn 0.5321 0.4679 0.7500

Properties
Crystal system: orthorhombic
M_tot: 0.00 μB per atom



#Q
This record from Alexandria describes KNbZn after structural relaxation. The functional is PBE.

Cell lengths 8.5965, 2.7341, 11.3442 Å; angles 90.00, 90.00, 90.00 degrees
Sites, in units of the cell vectors:
1 K 0.8485 0.2500 0.4232
2 K 0.6515 0.7500 0.9232
3 K 0.1515 0.7500 0.5768
4 K 0.3485 0.2500 0.0768
5 Nb 0.4558 0.2500 0.3857
6 Nb 0.0442 0.7500 0.8857
7 Nb 0.5442 0.7500 0.6143
8 Nb 0.9558 0.2500 0.1143
9 Zn 0.8266 0.2500 0.7133
10 Zn 0.6734 0.7500 0.2133
11 Zn 0.1734 0.7500 0.2867
12 Zn 0.3266 0.2500 0.7867

Properties
Crystal system: orthorhombic
M_tot: 0.00 μB per atom



#R
This record from Alexandria describes KNbZn after structural relaxation. The functional is PBE.

Cell lengths 13.3767, 4.9855, 5.1071 Å; angles 90.00, 90.00, 90.00 degrees
Sites, in units of the cell vectors:
1 K 0.7714 0.2500 0.9881
2 K 0.7286 0.7500 0.4881
3 K 0.2286 0.7500 0.0119
4 K 0.2714 0.2500 0.5119
5 Nb 0.4987 0.2500 0.0003
6 Nb 0.0013 0.7500 0.5003
7 Nb 0.5013 0.7500 0.9997
8 Nb 0.9987 0.2500 0.4997
9 Zn 0.0000 0.0000 0.0000
10 Zn 0.5000 0.5000 0.5000
11 Zn 0.5000 0.0000 0.5000
12 Zn 0.0000 0.5000 0.0000

Properties
Crystal system: orthorhombic
M_tot: 0.00 μB per atom



#S
This record from Alexandria describes KNbZn after structural relaxation. The functional is PBE.

Cell lengths 3.5091, 3.5098, 13.3677 Å; angles 90.00, 89.57, 90.00 degrees
Sites, in units of the cell vectors:
1 K 0.7578 0.2500 0.1551
2 K 0.2422 0.7500 0.8449
3 Nb 0.7519 0.2500 0.4491
4 Nb 0.2481 0.7500 0.5509
5 Zn 0.7445 0.2500 0.6557
6 Zn 0.2555 0.7500 0.3443

Properties
Crystal system: monoclinic
M_tot: 0.00 μB per atom



Which is most stable, and by how much? #S, by 25.3 kJ/mol of atoms.



#P
This record from Alexandria describes KNb3Zn after structural relaxation. The functional is PBE.

Cell lengths 4.6130, 4.6130, 4.6130 Å; angles 90.00, 90.00, 90.00 degrees
Sites, in units of the cell vectors:
1 K 0.0000 0.0000 0.0000
2 Nb 0.0000 0.5000 0.0000
3 Nb 0.0000 0.0000 0.5000
4 Nb 0.5000 0.0000 0.0000
5 Zn 0.5000 0.5000 0.5000

Properties
Crystal system: cubic
M_tot: 0.00 μB per atom



#Q
This record from Alexandria describes KNb3Zn after structural relaxation. The functional is PBE.

Cell lengths 4.9506, 4.9506, 4.9506 Å; angles 90.00, 90.00, 90.00 degrees
Sites, in units of the cell vectors:
1 K 0.5000 0.5000 0.5000
2 Nb 0.0000 0.5000 0.0000
3 Nb 0.0000 0.0000 0.5000
4 Nb 0.5000 0.0000 0.0000
5 Zn 0.0000 0.0000 0.0000

Properties
Crystal system: cubic
M_tot: 0.00 μB per atom



Which is most stable, and by how much? #Q, by 88.7 kJ/mol of atoms.